(1)
PBE Li4Ga4Au3, relaxed; DFT formation energy = -0.417 eV per atom
1.0
-0.617 1.580 -2.420
-3.529 1.579 1.961
6.100 11.575 6.532
Au Li Ga
3 4 4
direct
0.000 0.000 0.000
0.970 0.365 0.275
0.030 0.635 0.725
0.485 0.823 0.359
0.529 0.546 0.902
0.470 0.454 0.098
0.516 0.178 0.641
0.990 0.274 0.453
0.010 0.726 0.547
0.020 0.086 0.821
0.980 0.914 0.179



(2)
PBE La2CeTmSb4, relaxed; total DFT energy (no corrections) = -5.753 eV/atom
1.0
-1.667 -4.202 0.253
6.873 -2.561 2.726
-4.550 2.167 6.004
La Sb Tm Ce
2 4 1 1
direct
0.000 0.500 0.500
0.500 0.000 0.500
0.500 0.758 0.764
0.000 0.750 0.239
0.000 0.250 0.761
0.500 0.242 0.236
0.000 0.000 0.000
0.500 0.500 0.000



(3)
PBE BaGeIO6, relaxed; total DFT energy (no corrections) = -5.567 eV/atom
1.0
5.290 0.000 0.000
2.645 4.581 0.000
0.000 0.000 5.868
O I Ge Ba
6 1 1 1
direct
0.987 0.614 0.692
0.398 0.614 0.308
0.614 0.398 0.692
0.987 0.398 0.308
0.398 0.988 0.692
0.614 0.987 0.308
0.333 0.333 0.500
0.667 0.667 0.500
0.000 0.000 0.000



(4)
PBE SrTlRu2Se, relaxed; total DFT energy (no corrections) = -4.800 eV/atom
1.0
-0.656 4.315 -1.617
-2.458 1.472 4.924
4.147 1.264 1.693
Ru Se Sr Tl
2 1 1 1
direct
0.500 0.000 0.000
0.000 0.000 0.500
0.000 0.000 0.000
0.000 0.500 0.000
0.500 0.500 0.500



(5)
PBE TlFeIr2, relaxed; offset from the most stable computed form = 130 meV/atom; DFT formation energy = 0.434 eV per atom
1.0
4.774 -0.011 0.005
3.890 2.767 0.005
0.893 0.284 4.910
Ir Fe Tl
2 1 1
direct
0.741 0.741 0.782
0.999 0.999 0.014
0.260 0.260 0.202
0.500 0.500 0.501



(6)
PBE Rb2TlMoCl6, relaxed; offset from the most stable computed form = 0 meV/atom
1.0
7.353 0.000 0.000
0.000 8.451 0.000
0.000 0.000 10.950
Rb Cl Mo Tl
4 12 2 2
direct
0.500 0.811 0.215
0.000 0.189 0.285
0.000 0.189 0.715
0.500 0.811 0.785
0.233 0.009 0.000
0.000 0.798 0.775
0.767 0.009 0.000
0.241 0.596 0.000
0.500 0.202 0.275
0.259 0.404 0.500
0.741 0.404 0.500
0.267 0.991 0.500
0.733 0.991 0.500
0.000 0.798 0.225
0.759 0.596 0.000
0.500 0.202 0.725
0.000 0.797 0.000
0.500 0.203 0.500
0.000 0.695 0.500
0.500 0.305 0.000



(7)
PBE Pm2Al3Au2, relaxed; offset from the most stable computed form = 0 meV/atom; DFT formation energy = -0.664 eV per atom
1.0
4.424 0.000 0.000
-2.212 5.398 -0.008
0.000 -2.865 6.270
Al Au Pm
3 2 2
direct
0.500 0.000 0.000
0.398 0.796 0.570
0.602 0.204 0.430
0.149 0.298 0.249
0.851 0.702 0.751
0.149 0.299 0.781
0.851 0.701 0.219



(8)
PBE Zr2CrNi, relaxed; offset from the most stable computed form = 200 meV/atom; DFT formation energy = 0.086 eV per atom
1.0
-2.928 -2.684 -3.588
-0.984 -5.183 0.902
-0.332 4.605 2.707
Zr Cr Ni
2 1 1
direct
0.250 0.750 0.500
0.000 0.000 0.000
0.500 0.500 0.000
0.750 0.250 0.500